(1)
A relaxed Co2AgIr crystal. Source: Alexandria, functional GGA-PBE.

Values from the calculation:
volume	56.0	Å³/f.u.
Fermi-level density of states	4.7	states/eV/f.u.
formation enthalpy at 0 K	0.355	eV per atom

Lattice parameters (Å, degrees): 8.7028 2.7166 4.8125 90.00 100.10 90.00
With the nearest neighbours (Å) after each atom.
Space group C2/m (No. 12)
Unique sites:
Co1 0.2427 0.0000 0.2124 [4 per cell]  4 Co 2.48-2.72, 3 Ir 2.57-2.62, 3 Ag 2.72-2.77
Ag1 0.0000 0.0000 0.5000 [2 per cell]  2 Ag 2.72, 6 Co 2.72-2.77, 4 Ir 2.76
Ir1 0.0000 0.5000 0.0000 [2 per cell]  6 Co 2.57-2.62, 2 Ir 2.72, 4 Ag 2.76

(2)
A relaxed Li3Hg crystal. Source: Alexandria, functional GGA-PBE.

Values from the calculation:
volume	81.6	Å³/f.u.
Fermi-level density of states	1.7	states/eV/f.u.
formation enthalpy at 0 K	-0.115	eV per atom

Lattice parameters (Å, degrees): 3.1653 3.1653 28.2048 90.00 90.00 120.00
With the nearest neighbours (Å) after each atom.
Space group R-3m (No. 166, hexagonal axes)
Unique sites:
Li1 0.0000 0.0000 0.0000 [3 per cell]  12 Li 3.03-3.17
Li2 0.0000 0.0000 0.2477 [6 per cell]  3 Hg 2.93, 9 Li 3.03-3.17
Hg1 0.0000 0.0000 0.5000 [3 per cell]  6 Li 2.93, 6 Hg 3.17

(3)
A relaxed UTaB2 crystal. Source: Alexandria, functional GGA-PBE.

Values from the calculation:
volume	56.5	Å³/f.u.
Fermi-level density of states	4.4	states/eV/f.u.
formation enthalpy at 0 K	-0.136	eV per atom

Lattice parameters (Å, degrees): 3.3040 3.3040 17.9181 90.00 90.00 120.00
With the nearest neighbours (Å) after each atom.
Space group R-3m (No. 166, hexagonal axes)
Unique sites:
U1 0.0000 0.0000 0.0000 [3 per cell]  6 B 2.53
Ta1 0.0000 0.0000 0.5000 [3 per cell]  6 B 2.32
B1 0.0000 0.0000 0.2406 [6 per cell]  3 Ta 2.32, 3 U 2.53

(4)
A relaxed HgI3N crystal. Source: Alexandria, functional GGA-PBE.

Values from the calculation:
volume	265.2	Å³/f.u.
formation energy without anion corrections	542	meV/atom

Lattice parameters (Å, degrees): 14.8236 6.7627 11.7603 90.00 115.85 90.00
With the nearest neighbours (Å) after each atom.
Space group C2/m (No. 12)
Unique sites:
Hg1 0.0000 0.1969 0.0000 [4 per cell]  1 Hg 2.66, 2 I 2.94
I1 0.0388 0.0000 0.3440 [4 per cell]  1 N 2.06
I2 0.1483 0.5000 0.0210 [4 per cell]  2 Hg 2.94
I3 0.2425 0.0000 0.6385 [4 per cell]  1 N 2.06
N1 0.1922 0.0000 0.4453 [4 per cell]  2 I 2.06

(5)
A relaxed ZrTi2CdN crystal. Source: Alexandria, functional GGA-PBE.

Values from the calculation:
volume	80.1	Å³/f.u.
formation energy without anion corrections	-787	meV/atom
Fermi-level density of states	3.9	states/eV/f.u.

Lattice parameters (Å, degrees): 4.2076 4.2076 4.5242 90.00 90.00 90.00
With the nearest neighbours (Å) after each atom.
Space group P4/mmm (No. 123)
Unique sites:
Zr1 0.0000 0.0000 0.0000 [1 per cell]  2 N 2.26
Ti1 0.0000 0.5000 0.5000 [2 per cell]  2 N 2.10
Cd1 0.5000 0.5000 0.0000 [1 per cell]  4 Zr 2.98, 8 Ti 3.09
N1 0.0000 0.0000 0.5000 [1 per cell]  4 Ti 2.10, 2 Zr 2.26

(6)
A relaxed NaPaAs2O8 crystal. Source: Alexandria, functional GGA-PBE.

Values from the calculation:
volume	162.6	Å³/f.u.
formation energy without anion corrections	-2002	meV/atom
Fermi-level density of states	0.0	states/eV/f.u.

Lattice parameters (Å, degrees): 7.1614 7.1614 6.3396 90.00 90.00 90.00
With the nearest neighbours (Å) after each atom.
Space group I-4m2 (No. 119)
Unique sites:
Na1 0.0000 0.0000 0.0000 [2 per cell]  8 O 2.35-2.55
Pa1 0.0000 0.5000 0.7500 [2 per cell]  8 O 2.27-2.38
As1 0.0000 0.0000 0.5000 [2 per cell]  4 O 1.72
As2 0.0000 0.5000 0.2500 [2 per cell]  4 O 1.72
O1 0.0000 0.1925 0.6624 [8 per cell]  1 As 1.72
O2 0.0000 0.3222 0.0668 [8 per cell]  1 As 1.72

> Look up the volume of the fourth one.

265.2 Å³/f.u.